(1)
# GGA-PBE Li4MgGeIr2, optimized geometry
# Spin magnetization, Bohr magnetons per cell: 0.01
# E_tot, eV/atom: -4.2754
data_Li4MgGeIr2
_cell_length_a 4.301
_cell_length_b 4.301
_cell_length_c 6.048
_cell_angle_alpha 90.00
_cell_angle_beta 90.00
_cell_angle_gamma 90.00
_space_group_name_H-M_alt 'P -4 m 2'
_space_group_IT_number 115
_space_group_name_Hall 'P -4 -2'
loop_
_atom_site_label
_atom_site_fract_x
_atom_site_fract_y
_atom_site_fract_z
Li1 0.000 0.000 0.000
Li2 0.000 0.500 0.740
Li3 0.500 0.500 0.500
Mg1 0.500 0.500 0.000
Ge1 0.000 0.000 0.500
Ir1 0.000 0.500 0.277

---

(2)
# GGA-PBE Li2Mg2NiGe2Ir, optimized geometry
# Spin magnetization, Bohr magnetons per cell: 0.00
# E_tot, eV/atom: -4.2042
data_Li2Mg2NiGe2Ir
_cell_length_a 4.316
_cell_length_b 4.316
_cell_length_c 6.082
_cell_angle_alpha 90.00
_cell_angle_beta 90.00
_cell_angle_gamma 90.00
_space_group_name_H-M_alt 'P -4 m 2'
_space_group_IT_number 115
_space_group_name_Hall 'P -4 -2'
loop_
_atom_site_label
_atom_site_fract_x
_atom_site_fract_y
_atom_site_fract_z
Li1 0.000 0.000 0.000
Li2 0.500 0.500 0.500
Mg1 0.000 0.500 0.243
Ni1 0.500 0.500 0.000
Ge1 0.000 0.500 0.755
Ir1 0.000 0.000 0.500

---

(3)
# GGA-PBE Li2MgZnGe2Ir2, optimized geometry
# Spin magnetization, Bohr magnetons per cell: 0.01
# E_tot, eV/atom: -4.5927
data_Li2MgZnGe2Ir2
_cell_length_a 4.316
_cell_length_b 4.316
_cell_length_c 6.117
_cell_angle_alpha 90.00
_cell_angle_beta 90.00
_cell_angle_gamma 90.00
_space_group_name_H-M_alt 'P -4 m 2'
_space_group_IT_number 115
_space_group_name_Hall 'P -4 -2'
loop_
_atom_site_label
_atom_site_fract_x
_atom_site_fract_y
_atom_site_fract_z
Li1 0.000 0.500 0.238
Mg1 0.000 0.000 0.500
Zn1 0.500 0.500 0.000
Ge1 0.000 0.000 0.000
Ge2 0.500 0.500 0.500
Ir1 0.000 0.500 0.759

---

(4)
# GGA-PBE Li4NiGe2Ir, optimized geometry
# Spin magnetization, Bohr magnetons per cell: 0.00
# E_tot, eV/atom: -4.3144
data_Li4NiGe2Ir
_cell_length_a 4.171
_cell_length_b 4.171
_cell_length_c 5.863
_cell_angle_alpha 90.00
_cell_angle_beta 90.00
_cell_angle_gamma 90.00
_space_group_name_H-M_alt 'P -4 m 2'
_space_group_IT_number 115
_space_group_name_Hall 'P -4 -2'
loop_
_atom_site_label
_atom_site_fract_x
_atom_site_fract_y
_atom_site_fract_z
Li1 0.000 0.000 0.000
Li2 0.000 0.500 0.738
Li3 0.500 0.500 0.500
Ni1 0.000 0.000 0.500
Ge1 0.000 0.500 0.254
Ir1 0.500 0.500 0.000

---

(5)
# GGA-PBE Li4GeIrO6, optimized geometry
# Spin magnetization, Bohr magnetons per cell: 2.00
# E_tot, eV/atom: -5.8943
data_Li4GeIrO6
_cell_length_a 5.100
_cell_length_b 8.810
_cell_length_c 5.032
_cell_angle_alpha 90.00
_cell_angle_beta 110.05
_cell_angle_gamma 90.00
_space_group_name_H-M_alt 'C 1 2 1'
_space_group_IT_number 5
_space_group_name_Hall 'C 2y'
loop_
_atom_site_label
_atom_site_fract_x
_atom_site_fract_y
_atom_site_fract_z
Li1 0.000 0.000 0.000
Li2 0.000 0.160 0.500
Li3 0.000 0.501 0.500
Li4 0.000 0.838 0.500
Ge1 0.000 0.332 0.000
Ir1 0.000 0.667 0.000
O1 0.227 0.493 0.232
O2 0.236 0.328 0.772
O3 0.242 0.179 0.231

---

(6)
# GGA-PBE LiGeIrPb, optimized geometry
# Spin magnetization, Bohr magnetons per cell: 0.02
# E_tot, eV/atom: -4.8220
# Relative energy among the computed polymorphs, meV/atom: 0
data_LiGeIrPb
_cell_length_a 6.526
_cell_length_b 6.526
_cell_length_c 6.526
_cell_angle_alpha 90.00
_cell_angle_beta 90.00
_cell_angle_gamma 90.00
_space_group_name_H-M_alt 'F -4 3 m'
_space_group_IT_number 216
_space_group_name_Hall 'F -4 2 3'
loop_
_atom_site_label
_atom_site_fract_x
_atom_site_fract_y
_atom_site_fract_z
Li1 0.000 0.000 0.000
Ge1 0.250 0.250 0.750
Ir1 0.000 0.000 0.500
Pb1 0.250 0.250 0.250

---

(7)
# GGA-PBE LiGeIrPb, optimized geometry
# Spin magnetization, Bohr magnetons per cell: 0.03
# E_tot, eV/atom: -4.6006
# Relative energy among the computed polymorphs, meV/atom: 221
data_LiGeIrPb
_cell_length_a 6.596
_cell_length_b 6.596
_cell_length_c 6.596
_cell_angle_alpha 90.00
_cell_angle_beta 90.00
_cell_angle_gamma 90.00
_space_group_name_H-M_alt 'F -4 3 m'
_space_group_IT_number 216
_space_group_name_Hall 'F -4 2 3'
loop_
_atom_site_label
_atom_site_fract_x
_atom_site_fract_y
_atom_site_fract_z
Li1 0.000 0.000 0.000
Ge1 0.000 0.000 0.500
Ir1 0.250 0.250 0.750
Pb1 0.250 0.250 0.250

---

(8)
# GGA-PBE Li2Zr2Ge2IrPd, optimized geometry
# Spin magnetization, Bohr magnetons per cell: 0.00
# E_tot, eV/atom: -6.1169
data_Li2Zr2Ge2IrPd
_cell_length_a 4.486
_cell_length_b 4.486
_cell_length_c 6.284
_cell_angle_alpha 90.00
_cell_angle_beta 90.00
_cell_angle_gamma 90.00
_space_group_name_H-M_alt 'P -4 m 2'
_space_group_IT_number 115
_space_group_name_Hall 'P -4 -2'
loop_
_atom_site_label
_atom_site_fract_x
_atom_site_fract_y
_atom_site_fract_z
Li1 0.000 0.000 0.000
Li2 0.500 0.500 0.500
Zr1 0.000 0.500 0.246
Ge1 0.000 0.500 0.744
Ir1 0.500 0.500 0.000
Pd1 0.000 0.000 0.500

---

(9)
# GGA-PBE Li2Zr2Ge2IrPt, optimized geometry
# Spin magnetization, Bohr magnetons per cell: 0.00
# E_tot, eV/atom: -6.2787
data_Li2Zr2Ge2IrPt
_cell_length_a 4.493
_cell_length_b 4.493
_cell_length_c 6.326
_cell_angle_alpha 90.00
_cell_angle_beta 90.00
_cell_angle_gamma 90.00
_space_group_name_H-M_alt 'P -4 m 2'
_space_group_IT_number 115
_space_group_name_Hall 'P -4 -2'
loop_
_atom_site_label
_atom_site_fract_x
_atom_site_fract_y
_atom_site_fract_z
Li1 0.000 0.000 0.000
Li2 0.500 0.500 0.500
Zr1 0.000 0.500 0.248
Ge1 0.000 0.500 0.751
Ir1 0.500 0.500 0.000
Pt1 0.000 0.000 0.500

---

(10)
# GGA-PBE Li4GeSbIr2, optimized geometry
# Spin magnetization, Bohr magnetons per cell: 0.00
# E_tot, eV/atom: -4.6910
data_Li4GeSbIr2
_cell_length_a 4.274
_cell_length_b 4.274
_cell_length_c 6.238
_cell_angle_alpha 90.00
_cell_angle_beta 90.00
_cell_angle_gamma 90.00
_space_group_name_H-M_alt 'P -4 m 2'
_space_group_IT_number 115
_space_group_name_Hall 'P -4 -2'
loop_
_atom_site_label
_atom_site_fract_x
_atom_site_fract_y
_atom_site_fract_z
Li1 0.000 0.000 0.000
Li2 0.000 0.500 0.726
Li3 0.500 0.500 0.500
Ge1 0.000 0.000 0.500
Sb1 0.500 0.500 0.000
Ir1 0.000 0.500 0.265

---

(11)
# GGA-PBE Li2Zr2SiGeIr2, optimized geometry
# Spin magnetization, Bohr magnetons per cell: 0.01
# E_tot, eV/atom: -6.8588
data_Li2Zr2SiGeIr2
_cell_length_a 4.417
_cell_length_b 4.417
_cell_length_c 6.247
_cell_angle_alpha 90.00
_cell_angle_beta 90.00
_cell_angle_gamma 90.00
_space_group_name_H-M_alt 'P -4 m 2'
_space_group_IT_number 115
_space_group_name_Hall 'P -4 -2'
loop_
_atom_site_label
_atom_site_fract_x
_atom_site_fract_y
_atom_site_fract_z
Li1 0.000 0.500 0.249
Zr1 0.000 0.000 0.000
Zr2 0.500 0.500 0.500
Si1 0.500 0.500 0.000
Ge1 0.000 0.000 0.500
Ir1 0.000 0.500 0.756

---

(12)
# GGA-PBE Li4SnGeIr2, optimized geometry
# Spin magnetization, Bohr magnetons per cell: 0.01
# E_tot, eV/atom: -4.6712
data_Li4SnGeIr2
_cell_length_a 4.292
_cell_length_b 4.292
_cell_length_c 6.186
_cell_angle_alpha 90.00
_cell_angle_beta 90.00
_cell_angle_gamma 90.00
_space_group_name_H-M_alt 'P -4 m 2'
_space_group_IT_number 115
_space_group_name_Hall 'P -4 -2'
loop_
_atom_site_label
_atom_site_fract_x
_atom_site_fract_y
_atom_site_fract_z
Li1 0.000 0.000 0.000
Li2 0.000 0.500 0.731
Li3 0.500 0.500 0.500
Sn1 0.500 0.500 0.000
Ge1 0.000 0.000 0.500
Ir1 0.000 0.500 0.271